A plane-wave DFT calculation with PBE-GGA was carried out for As2WSe after structural relaxation.

The structure in POSCAR format:
```
As2WSe
1.0
3.228 0.000 0.000
0.000 3.228 0.000
0.000 0.000 7.309
As W Se
2 1 1
Direct
0.000 0.000 0.000 As
0.500 0.500 0.194 As
0.500 0.500 0.801 W
0.000 0.000 0.595 Se
```

Output
M_tot   0.00 μB/f.u.
D(E_F)   0.477 states/eV per atom
Space-group type   P4mm
Formation energy (no corrections)   161 meV per atom